4
Lattice="3.643 0.000 0.000 0.000 3.643 0.000 0.000 0.000 6.560" Properties=species:S:1:pos:R:3 comment="BaAlP2 PBE optimized geometry" formation_enthalpy_0k_ev_per_atom=-0.278 space_group="No. 123" dft_energy_ev_per_cell=-17.6 pbc="T T T"
P 0.000 0.000 0.517
P 0.000 0.000 2.763
Ba 1.821 1.821 4.920
Al 1.821 1.821 1.640